No. 1
ZrSi2Ni | Alexandria | SCAN | single point on PBEsol structure; D(E_F) = 0.55 states/eV per atom; VASP energy = -68.05 eV/cell; total magnetic moment = 0.00 Bohr magnetons per cell
1.0
-1.387 2.449 4.301
1.387 -2.449 4.301
1.387 2.449 -4.301
Zr Si Ni
1 2 1
Direct
0.000 0.000 0.000
0.283 0.783 0.500
0.717 0.217 0.500
0.500 0.500 0.000

=====

No. 2
ZrSiNi2 | Alexandria | SCAN | single point on PBEsol structure; D(E_F) = 0.96 states/eV per atom; VASP energy = -73.43 eV/cell; total magnetic moment = 0.00 Bohr magnetons per cell
1.0
2.691 -4.164 0.000
2.691 4.164 0.000
-1.255 0.000 2.461
Zr Si Ni
1 1 2
Direct
0.000 0.000 0.000
0.500 0.500 0.000
0.000 0.500 0.500
0.500 0.000 0.500

=====

No. 3
ZrSiNi2 | Alexandria | SCAN | single point on PBEsol structure; D(E_F) = 0.81 states/eV per atom; VASP energy = -74.72 eV/cell; total magnetic moment = 0.00 Bohr magnetons per cell
1.0
4.013 0.000 0.000
0.000 1.594 4.385
0.000 -1.594 4.385
Zr Si Ni
1 1 2
Direct
0.000 0.000 0.000
0.500 0.382 0.382
0.000 0.270 0.270
0.500 0.675 0.675

=====

No. 4
ZrSiNi | Alexandria | SCAN | single point on PBEsol structure; D(E_F) = 0.15 states/eV per atom; VASP energy = -238.95 eV/cell; total magnetic moment = 0.00 Bohr magnetons per cell
1.0
6.421 0.000 0.000
0.000 3.775 0.000
0.000 0.000 7.220
Zr Si Ni
4 4 4
Direct
0.016 0.250 0.186
0.484 0.750 0.686
0.516 0.250 0.314
0.984 0.750 0.814
0.226 0.750 0.387
0.274 0.250 0.887
0.726 0.750 0.113
0.774 0.250 0.613
0.140 0.250 0.561
0.360 0.750 0.061
0.640 0.250 0.939
0.860 0.750 0.439

=====

No. 5
ZrSiNi2 | Alexandria | SCAN | single point on PBEsol structure; D(E_F) = 0.62 states/eV per atom; VASP energy = -72.87 eV/cell; total magnetic moment = 0.00 Bohr magnetons per cell
1.0
1.413 0.816 8.034
-1.413 0.816 8.034
0.000 -1.632 8.034
Zr Si Ni
1 1 2
Direct
0.000 0.000 0.000
0.766 0.766 0.766
0.244 0.244 0.244
0.500 0.500 0.500

=====

No. 6
ZrSiNi | Alexandria | SCAN | single point on PBEsol structure; D(E_F) = 0.56 states/eV per atom; VASP energy = -59.47 eV/cell; total magnetic moment = 0.00 Bohr magnetons per cell
1.0
3.985 0.000 0.000
-1.993 3.452 0.000
0.000 0.000 3.227
Zr Si Ni
1 1 1
Direct
0.000 0.000 0.000
0.333 0.667 0.500
0.667 0.333 0.500

=====

No. 7
SmNi | Alexandria | SCAN | single point on PBEsol structure; D(E_F) = 0.72 states/eV per atom; VASP energy = -122.68 eV/cell; formation energy from the elements = -361 meV/atom; total magnetic moment = 0.00 Bohr magnetons per cell
1.0
1.851 -5.092 0.000
1.851 5.092 0.000
0.000 0.000 4.243
Sm Ni
2 2
Direct
0.139 0.861 0.750
0.861 0.139 0.250
0.428 0.572 0.750
0.572 0.428 0.250

=====

No. 8
SmNi2Sn2 | Alexandria | SCAN | single point on PBEsol structure; D(E_F) = 0.71 states/eV per atom; VASP energy = -151.15 eV/cell; formation energy from the elements = -504 meV/atom; total magnetic moment = 0.00 Bohr magnetons per cell
1.0
-2.174 2.174 5.141
2.174 -2.174 5.141
2.174 2.174 -5.141
Sm Ni Sn
1 2 2
Direct
0.000 0.000 0.000
0.250 0.750 0.500
0.750 0.250 0.500
0.364 0.364 0.000
0.636 0.636 0.000

=====

No. 9
Ni3Sn4 | Alexandria | SCAN | single point on PBEsol structure; D(E_F) = 0.43 states/eV per atom; VASP energy = -193.43 eV/cell; formation energy from the elements = -175 meV/atom; total magnetic moment = 0.00 Bohr magnetons per cell
1.0
6.065 -2.013 0.000
6.065 2.013 0.000
-1.362 0.000 4.997
Ni Sn
3 4
Direct
0.000 0.000 0.000
0.216 0.216 0.336
0.784 0.784 0.664
0.171 0.171 0.811
0.428 0.428 0.687
0.572 0.572 0.313
0.829 0.829 0.189

=====

No. 10
SrNiSn3 | Alexandria | SCAN | single point on PBEsol structure; D(E_F) = 0.32 states/eV per atom; VASP energy = -148.62 eV/cell; formation energy from the elements = -481 meV/atom; total magnetic moment = 0.00 Bohr magnetons per cell
1.0
-2.355 2.355 5.392
2.355 -2.355 5.392
2.355 2.355 -5.392
Sr Ni Sn
1 1 3
Direct
0.000 0.000 0.000
0.660 0.660 0.000
0.250 0.750 0.500
0.432 0.432 0.000
0.750 0.250 0.500

=====

No. 11
SrNi2SnTe | Alexandria | SCAN | single point on PBEsol structure; D(E_F) = 1.22 states/eV per atom; VASP energy = -127.09 eV/cell; total magnetic moment = 1.35 Bohr magnetons per cell
1.0
4.710 0.000 0.000
0.000 4.710 0.000
0.000 0.000 5.958
Sr Ni Sn Te
1 2 1 1
Direct
0.000 0.000 0.000
0.000 0.500 0.500
0.500 0.000 0.500
0.500 0.500 0.500
0.500 0.500 0.000

=====

No. 12
TaNiSn3 | Alexandria | SCAN | single point on PBEsol structure; D(E_F) = 2.16 states/eV per atom; VASP energy = -185.18 eV/cell; formation energy from the elements = 1069 meV/atom; total magnetic moment = 1.34 Bohr magnetons per cell
1.0
5.271 0.000 0.000
0.000 5.271 0.000
0.000 0.000 5.271
Ta Ni Sn
1 1 3
Direct
0.000 0.000 0.000
0.500 0.500 0.500
0.000 0.000 0.500
0.000 0.500 0.000
0.500 0.000 0.000

=====

No. 13
TbNiSn | Alexandria | SCAN | single point on PBEsol structure; D(E_F) = 0.56 states/eV per atom; VASP energy = -404.37 eV/cell; formation energy from the elements = -745 meV/atom; total magnetic moment = 0.00 Bohr magnetons per cell
1.0
7.075 0.000 0.000
0.000 4.414 0.000
0.000 0.000 7.567
Tb Ni Sn
4 4 4
Direct
0.015 0.250 0.198
0.485 0.750 0.698
0.515 0.250 0.302
0.985 0.750 0.802
0.202 0.750 0.413
0.298 0.250 0.913
0.702 0.750 0.087
0.798 0.250 0.587
0.184 0.250 0.586
0.316 0.750 0.086
0.684 0.250 0.914
0.816 0.750 0.414

=====

No. 14
TcNiSn3 | Alexandria | SCAN | single point on PBEsol structure; D(E_F) = 2.16 states/eV per atom; VASP energy = -155.15 eV/cell; formation energy from the elements = 769 meV/atom; total magnetic moment = 0.84 Bohr magnetons per cell
1.0
5.049 0.000 0.000
0.000 5.049 0.000
0.000 0.000 5.049
Tc Ni Sn
1 1 3
Direct
0.000 0.000 0.000
0.500 0.500 0.500
0.000 0.000 0.500
0.000 0.500 0.000
0.500 0.000 0.000

=====

No. 15
Ni2Sn2Te | Alexandria | SCAN | single point on PBEsol structure; D(E_F) = 0.66 states/eV per atom; VASP energy = -140.46 eV/cell; total magnetic moment = 0.00 Bohr magnetons per cell
1.0
-1.748 1.748 8.034
1.748 -1.748 8.034
1.748 1.748 -8.034
Ni Sn Te
2 2 1
Direct
0.250 0.750 0.500
0.750 0.250 0.500
0.132 0.132 0.000
0.868 0.868 0.000
0.500 0.500 0.000

=====

No. 16
TiNiSn | Alexandria | SCAN | single point on PBEsol structure; VASP energy = -70.10 eV/cell; formation energy from the elements = -658 meV/atom; total magnetic moment = 0.00 Bohr magnetons per cell
1.0
0.000 2.934 2.934
2.934 0.000 2.934
2.934 2.934 0.000
Ti Ni Sn
1 1 1
Direct
0.000 0.000 0.000
0.250 0.250 0.250
0.500 0.500 0.500

=====

No. 17
TmNiSn2 | Alexandria | SCAN | single point on PBEsol structure; D(E_F) = 0.34 states/eV per atom; VASP energy = -1706.78 eV/cell; formation energy from the elements = -596 meV/atom; total magnetic moment = 0.00 Bohr magnetons per cell
1.0
15.826 0.000 0.000
0.000 4.363 0.000
0.000 0.000 14.273
Tm Ni Sn
12 12 24
Direct
0.128 0.250 0.225
0.147 0.750 0.602
0.150 0.250 0.970
0.350 0.750 0.470
0.353 0.250 0.102
0.372 0.750 0.725
0.628 0.250 0.275
0.647 0.750 0.898
0.650 0.250 0.530
0.850 0.750 0.030
0.853 0.250 0.398
0.872 0.750 0.775
0.053 0.750 0.106
0.192 0.250 0.743
0.200 0.250 0.452
0.300 0.750 0.952
0.308 0.750 0.243
0.447 0.250 0.606
0.553 0.750 0.394
0.692 0.250 0.757
0.700 0.250 0.048
0.800 0.750 0.548
0.808 0.750 0.257
0.947 0.250 0.894
0.020 0.750 0.921
0.030 0.250 0.735
0.042 0.250 0.447
0.175 0.750 0.367
0.183 0.750 0.822
0.214 0.750 0.102
0.286 0.250 0.602
0.317 0.250 0.322
0.325 0.250 0.867
0.458 0.750 0.947
0.470 0.750 0.235
0.480 0.250 0.421
0.520 0.750 0.579
0.530 0.250 0.765
0.542 0.250 0.053
0.675 0.750 0.133
0.683 0.750 0.678
0.714 0.750 0.398
0.786 0.250 0.898
0.817 0.250 0.178
0.825 0.250 0.633
0.958 0.750 0.553
0.970 0.750 0.265
0.980 0.250 0.079

=====

No. 18
YNiSn3 | Alexandria | SCAN | single point on PBEsol structure; D(E_F) = 1.66 states/eV per atom; VASP energy = -145.79 eV/cell; formation energy from the elements = 1198 meV/atom; total magnetic moment = 1.18 Bohr magnetons per cell
1.0
5.602 0.000 0.000
0.000 5.602 0.000
0.000 0.000 5.602
Y Ni Sn
1 1 3
Direct
0.000 0.000 0.000
0.500 0.500 0.500
0.000 0.000 0.500
0.000 0.500 0.000
0.500 0.000 0.000

=====

No. 19
Y2Ni2Sn | Alexandria | SCAN | single point on PBEsol structure; D(E_F) = 0.67 states/eV per atom; VASP energy = -127.21 eV/cell; formation energy from the elements = -651 meV/atom; total magnetic moment = 0.00 Bohr magnetons per cell
1.0
-2.098 2.785 4.116
2.098 -2.785 4.116
2.098 2.785 -4.116
Y Ni Sn
2 2 1
Direct
0.203 0.203 0.000
0.797 0.797 0.000
0.212 0.500 0.712
0.788 0.500 0.288
0.500 0.000 0.500

=====

No. 20
Y2Ni2Sn | Alexandria | SCAN | single point on PBEsol structure; D(E_F) = 0.23 states/eV per atom; VASP energy = -126.02 eV/cell; formation energy from the elements = -413 meV/atom; total magnetic moment = 0.00 Bohr magnetons per cell
1.0
-2.621 2.621 3.732
2.621 -2.621 3.732
2.621 2.621 -3.732
Y Ni Sn
2 2 1
Direct
0.250 0.750 0.500
0.750 0.250 0.500
0.148 0.148 0.000
0.852 0.852 0.000
0.500 0.500 0.000